LaEu2Y | PBE | optimized geometry

Values from the calculation:
**Formation energy**: 0.444 eV/f.u.
**Space group**: No. 123
**ΔE to the lowest computed polymorph**: 30 meV/atom
**Calculated volume**: 149.8 Å³/cell

Lattice parameters (Å, degrees): 5.3779 5.2775 5.2775 90.00 90.00 90.00
Closest atoms and distances in Å follow each position.
Atoms (fractional coordinates):
Y 0.5000 0.5000 0.5000  4 La 3.73, 8 Eu 3.77
Eu 0.0000 0.0000 0.5000  4 Eu 3.73, 4 La 3.77, 4 Y 3.77
Eu 0.0000 0.5000 0.0000  4 Eu 3.73, 4 La 3.77, 4 Y 3.77
La 0.5000 0.0000 0.0000  4 Y 3.73, 8 Eu 3.77

***

TaNbNO2 | PBE | optimized geometry

Values from the calculation:
**Space group**: No. 123
**Calculated volume**: 64.1 Å³/cell

Lattice parameters (Å, degrees): 3.9309 3.9309 4.1486 90.00 90.00 90.00
Closest atoms and distances in Å follow each position.
Atoms (fractional coordinates):
N 0.0000 0.0000 0.5000  2 Ta 2.07
Nb 0.5000 0.5000 0.5000  4 N 2.78, 8 O 2.86
Ta 0.0000 0.0000 0.0000  4 O 1.97, 2 N 2.07
O 0.5000 0.0000 0.0000  2 Ta 1.97
O 0.0000 0.5000 0.0000  2 Ta 1.97

***

CaYSn2S | PBE | optimized geometry

Values from the calculation:
**Space group**: No. 123
**Calculated volume**: 174.4 Å³/cell

Lattice parameters (Å, degrees): 5.8293 5.1324 5.8293 90.00 90.00 90.00
Closest atoms and distances in Å follow each position.
Atoms (fractional coordinates):
Sn 0.0000 0.0000 0.5000  2 Y 2.91
S 0.0000 0.5000 0.0000  2 Y 2.57
Ca 0.5000 0.5000 0.5000  8 Sn 3.88, 4 S 4.12
Y 0.0000 0.0000 0.0000  2 S 2.57
Sn 0.5000 0.0000 0.0000  2 Y 2.91

***

Y3SbTe2 | PBE | optimized geometry

Values from the calculation:
**Space group**: No. 71
**Calculated volume**: 177.8 Å³/cell

Lattice parameters (Å, degrees): 4.3644 6.1743 7.6034 113.96 106.68 90.00
Closest atoms and distances in Å follow each position.
Atoms (fractional coordinates):
Te 0.8310 0.8310 0.1621  6 Y 3.09-3.14
Y 0.5000 0.0000 0.5000  2 Sb 3.09, 4 Te 3.12
Sb 0.5000 0.5000 0.5000  6 Y 3.03-3.09
Y 0.8404 0.3404 0.1807  2 Sb 3.03, 4 Te 3.09-3.14
Y 0.1596 0.6596 0.8193  2 Sb 3.03, 4 Te 3.09-3.14
Te 0.1690 0.1690 0.8379  6 Y 3.09-3.14

***

Which final energy belongs to each record? In order, -7.874; -9.057; -4.361; -6.269 eV per atom.